# 1
VASP calculation (PBEsol) on a geometry-optimized TaCrMo2 structure.

```
data_TaCrMo2
_symmetry_space_group_name_H-M 'I -4 m 2'
_symmetry_Int_Tables_number 119
_symmetry_space_group_name_Hall 'I -4 -2'
_cell_length_a 3.650
_cell_length_b 3.650
_cell_length_c 9.128
_cell_angle_alpha 90.00
_cell_angle_beta 90.00
_cell_angle_gamma 90.00
loop_
_atom_site_label
_atom_site_fract_x
_atom_site_fract_y
_atom_site_fract_z
Ta1 0.000 0.000 0.000
Cr1 0.000 0.500 0.250
Mo1 0.000 0.000 0.500
Mo2 0.000 0.500 0.750
```

Properties
**ΔE to the lowest computed polymorph**: 1.40 eV per formula unit



# 2
VASP calculation (PBEsol) on a geometry-optimized TaCrMo structure.

```
data_TaCrMo
_symmetry_space_group_name_H-M 'I 4 m m'
_symmetry_Int_Tables_number 107
_symmetry_space_group_name_Hall 'I 4 -2'
_cell_length_a 3.073
_cell_length_b 3.073
_cell_length_c 9.326
_cell_angle_alpha 90.00
_cell_angle_beta 90.00
_cell_angle_gamma 90.00
loop_
_atom_site_label
_atom_site_fract_x
_atom_site_fract_y
_atom_site_fract_z
Ta1 0.000 0.000 0.000
Cr1 0.000 0.000 0.666
Mo1 0.000 0.000 0.320
```



| no. | mass density (g cm⁻³) | energy relative to the elements (eV per formula unit) |
| --- | --- | --- |
| 1 | 11.600 | 1.234 |
| 2 | 12.404 | -0.124 |